Record 1
TlTc2Mo after structural relaxation, computed with PBE-GGA.

Cell: 2.8955 2.8955 27.9072 Å, 90.00 90.00 120.00°
Closest atoms and distances in Å follow each position.
Space group R3m (No. 160, hexagonal axes)
Asymmetric unit:
Tl (0.0000, 0.0000, 0.0000) x3  6 Tl 2.90, 3 Tc 2.99, 3 Mo 3.03
Tc (0.0000, 0.0000, 0.4967) x3  9 Tc 2.67-2.90, 3 Mo 2.77
Tc (0.0000, 0.0000, 0.7554) x3  9 Tc 2.67-2.90, 3 Tl 2.99
Mo (0.0000, 0.0000, 0.2426) x3  3 Tc 2.77, 6 Mo 2.90, 3 Tl 3.03

Computed properties:
Calculated formation energy = 520 meV/atom
Electronic total energy = -95.547 eV for the cell shown
Energy above the lowest structure with this stoichiometry = 119 meV/atom
Volume = 67.5 Å³/f.u.
Crystal system = trigonal

Record 2
Rb2S2O5 after structural relaxation, computed with PBE-GGA.

Cell: 12.8954 3.7174 6.8089 Å, 90.00 103.57 90.00°
Closest atoms and distances in Å follow each position.
Space group C2/m (No. 12)
Asymmetric unit:
Rb (0.1144, 0.0000, 0.2304) x4  7 O 2.98-3.20
S (0.1187, 0.5000, 0.6921) x4  1 O 1.49
O (0.0000, 0.5000, 0.5000) x2  2 S 1.76
O (0.0774, 0.5000, 0.8790) x4  1 S 1.49
O (0.1507, 0.0000, 0.6792) x4  2 S 1.91

Computed properties:
Formation energy without anion corrections = -1.06 eV per atom
Electronic total energy = -89.103 eV for the cell shown
Volume = 158.6 Å³/f.u.
Crystal system = monoclinic

Record 3
LaDyHoGa after structural relaxation, computed with PBE-GGA.

Cell: 7.6526 7.6526 7.6526 Å, 90.00 90.00 90.00°
Closest atoms and distances in Å follow each position.
Space group F-43m (No. 216)
Asymmetric unit:
La (0.0000, 0.0000, 0.0000) x4  4 Ho 3.31, 4 Ga 3.31
Dy (0.0000, 0.0000, 0.5000) x4  4 Ho 3.31, 4 Ga 3.31
Ho (0.2500, 0.2500, 0.7500) x4  4 La 3.31, 4 Dy 3.31
Ga (0.2500, 0.2500, 0.2500) x4  4 La 3.31, 4 Dy 3.31

Computed properties:
Calculated formation energy = -105 meV/atom
Electronic total energy = -70.220 eV for the cell shown
Volume = 112.0 Å³/f.u.
Crystal system = cubic

Record 4
Tm8Te4PdPt3 after structural relaxation, computed with PBE-GGA.

Cell: 8.1995 8.1995 21.6798 Å, 90.00 90.00 120.00°
Closest atoms and distances in Å follow each position.
Space group R-3m (No. 166, hexagonal axes)
Asymmetric unit:
Tm (0.0000, 0.0000, 0.2369) x6  3 Pt 2.81
Tm (0.0035, 0.5018, 0.7628) x18  2 Pt 2.81, 1 Pd 2.84, 1 Te 3.14
Te (0.0000, 0.0000, 0.0000) x3  6 Tm 3.14
Te (0.0000, 0.5000, 0.0000) x9  6 Tm 3.16
Pd (0.0000, 0.0000, 0.5000) x3  6 Tm 2.84
Pt (0.0000, 0.5000, 0.5000) x9  6 Tm 2.81

Computed properties:
Formation energy without anion corrections = -1.21 eV per atom
Electronic total energy = -272.998 eV for the cell shown
Volume = 420.8 Å³/f.u.
Crystal system = trigonal